Here is a relaxed structure of PrTh2Sc3 from Alexandria. Energies are from GGA-PBE.

a = 3.489 Å, b = 9.032 Å, c = 11.228 Å
α = 90.00°, β = 90.00°, γ = 101.14°
Positions (direct):
Th 0.000 0.000 0.500
Th 0.444 0.889 0.750
Sc 0.335 0.670 0.012
Th 0.556 0.111 0.250
Sc 0.665 0.330 0.988
Th 0.000 0.000 0.000
Pr 0.779 0.558 0.750
Sc 0.107 0.213 0.750
Sc 0.665 0.330 0.512
Sc 0.335 0.670 0.488
Sc 0.893 0.787 0.250
Pr 0.221 0.442 0.250

Output
Energy above the most stable polymorph in this dataset, eV/atom: 0.038
Total magnetic moment, μB/atom: 0.0000
V, A^3/atom: 28.93
Uncorrected energy, eV for the cell shown: -76.50